Tb5HoEr5: optimized geometry, PBE.

Output
Its symmetry is C2/m, No. 12. As for the calculated formation energy: 3.1 eV/f.u. Its density of states at the Fermi level is 17.94 states/eV/f.u. The raw total energy comes out at -47.43 eV per cell. The calculation puts the polymorph energy (0 for the lowest one) at 132.9 meV/atom.

Unit cell a=9.8017 b=9.8017 c=6.9010 alpha=110.52 beta=110.52 gamma=34.82
Fractional positions:
Tb  0.0000  0.0000  0.0000
Tb  0.3221  0.3221  0.0675
Tb  0.3220  0.3220  0.5763
Tb  0.6780  0.6780  0.4237
Tb  0.6779  0.6779  0.9325
Ho  0.5000  0.5000  0.0000
Er  0.1232  0.1232  0.6238
Er  0.1688  0.1688  0.1694
Er  0.5000  0.5000  0.5000
Er  0.8312  0.8312  0.8306
Er  0.8768  0.8768  0.3762

TbHo6Er5: optimized geometry, PBE.

Output
Its symmetry is C2/m, No. 12. As for the calculated formation energy: 0.2 eV/f.u. Its density of states at the Fermi level is 16.11 states/eV/f.u. The raw total energy comes out at -54.67 eV per cell.

Unit cell a=6.0774 b=6.0774 c=11.6328 alpha=94.97 beta=94.97 gamma=119.93
Fractional positions:
Tb  0.0000  0.0000  0.0000
Ho  0.0835  0.4170  0.2505
Ho  0.2502  0.2502  0.7496
Ho  0.4170  0.0835  0.2505
Ho  0.5830  0.9165  0.7495
Ho  0.7498  0.7498  0.2504
Ho  0.9165  0.5830  0.7495
Er  0.1668  0.8332  0.5000
Er  0.3333  0.6667  0.0000
Er  0.5000  0.5000  0.5000
Er  0.6667  0.3333  0.0000
Er  0.8332  0.1668  0.5000

Tb5Ho8Er: optimized geometry, PBE.

Output
Its symmetry is I-4, No. 82. As for the calculated formation energy: 3.6 eV/f.u. Its density of states at the Fermi level is 20.09 states/eV/f.u. The raw total energy comes out at -60.77 eV per cell.

Unit cell a=8.3734 b=8.3734 c=8.3734 alpha=110.87 beta=110.87 gamma=106.70
Fractional positions:
Tb  0.0000  0.0000  0.0000
Tb  0.3129  0.6349  0.1014
Tb  0.3651  0.4665  0.6780
Tb  0.5335  0.2115  0.8986
Tb  0.7885  0.6871  0.3220
Ho  0.0236  0.4184  0.2538
Ho  0.0732  0.1597  0.7375
Ho  0.1646  0.7698  0.7462
Ho  0.2302  0.9764  0.3948
Ho  0.4222  0.3357  0.2625
Ho  0.5816  0.8354  0.6052
Ho  0.6643  0.9268  0.0865
Ho  0.8403  0.5778  0.9135
Er  0.7500  0.2500  0.5000

Tb3Ho2Er7: optimized geometry, PBE.

Output
Its symmetry is Fmmm, No. 69. As for the calculated formation energy: 0.3 eV/f.u. Its density of states at the Fermi level is 17.04 states/eV/f.u. The raw total energy comes out at -54.72 eV per cell. The calculation puts the polymorph energy (0 for the lowest one) at 0.0 meV/atom.

Unit cell a=11.6362 b=11.0964 c=6.0897 alpha=79.42 beta=69.62 gamma=30.96
Fractional positions:
Tb  0.0000  0.0000  0.0000
Tb  0.3333  0.3333  0.6667
Tb  0.6667  0.6667  0.3333
Ho  0.1667  0.1667  0.8333
Ho  0.8333  0.8333  0.1667
Er  0.0833  0.0833  0.4167
Er  0.2500  0.2500  0.2500
Er  0.4167  0.4167  0.0833
Er  0.5000  0.5000  0.5000
Er  0.5833  0.5833  0.9167
Er  0.7500  0.7500  0.7500
Er  0.9167  0.9167  0.5833

Tb4Ho2Er3: optimized geometry, PBE.

Output
Its symmetry is C2/c, No. 15. As for the calculated formation energy: 0.9 eV/f.u. Its density of states at the Fermi level is 12.92 states/eV/f.u. The raw total energy comes out at -80.97 eV per cell.

Unit cell a=10.0997 b=10.0997 c=5.8922 alpha=96.01 beta=96.01 gamma=69.60
Fractional positions:
Tb  0.0447  0.8280  0.9531
Tb  0.1628  0.3787  0.1186
Tb  0.1720  0.9553  0.5469
Tb  0.3787  0.1628  0.6186
Tb  0.6213  0.8372  0.3814
Tb  0.8280  0.0447  0.4531
Tb  0.8372  0.6213  0.8814
Tb  0.9553  0.1720  0.0469
Ho  0.2902  0.5040  0.7110
Ho  0.4960  0.7098  0.7890
Ho  0.5040  0.2902  0.2110
Ho  0.7098  0.4960  0.2890
Er  0.0143  0.3203  0.5827
Er  0.3203  0.0143  0.0827
Er  0.3473  0.6527  0.2500
Er  0.6527  0.3473  0.7500
Er  0.6797  0.9857  0.9173
Er  0.9857  0.6797  0.4173

Tb12Ho5Er2: optimized geometry, PBE.

Output
Its symmetry is P-1, No. 2. As for the calculated formation energy: 1.7 eV/f.u. Its density of states at the Fermi level is 25.68 states/eV/f.u. The raw total energy comes out at -85.91 eV per cell. The calculation puts the polymorph energy (0 for the lowest one) at 0.0 meV/atom.

Unit cell a=6.4608 b=8.8264 c=11.3951 alpha=109.74 beta=92.86 gamma=97.80
Fractional positions:
Tb  0.0120  0.3900  0.2181
Tb  0.0259  0.1983  0.6369
Tb  0.2059  0.1719  0.3597
Tb  0.3074  0.0113  0.8012
Tb  0.4446  0.6565  0.2683
Tb  0.4690  0.2596  0.1301
Tb  0.5310  0.7404  0.8699
Tb  0.5554  0.3435  0.7317
Tb  0.6926  0.9887  0.1988
Tb  0.7941  0.8281  0.6403
Tb  0.9741  0.8017  0.3631
Tb  0.9880  0.6100  0.7819
Ho  0.1630  0.8726  0.0761
Ho  0.2758  0.5987  0.5399
Ho  0.5000  0.0000  0.5000
Ho  0.7242  0.4013  0.4601
Ho  0.8370  0.1274  0.9239
Er  0.2359  0.4449  0.9610
Er  0.7641  0.5551  0.0390

Tb12HoEr2: optimized geometry, PBE.

Output
Its symmetry is C2/m, No. 12. As for the calculated formation energy: 1.7 eV/f.u. Its density of states at the Fermi level is 21.57 states/eV/f.u. The raw total energy comes out at -135.13 eV per cell.

Unit cell a=6.6362 b=6.6362 c=24.4275 alpha=93.54 beta=93.54 gamma=116.46
Fractional positions:
Tb  0.0362  0.5987  0.6997
Tb  0.0681  0.5442  0.8287
Tb  0.1357  0.6593  0.0558
Tb  0.1672  0.1672  0.0712
Tb  0.1673  0.1673  0.6612
Tb  0.1962  0.7556  0.5700
Tb  0.2444  0.8038  0.4300
Tb  0.3407  0.8643  0.9442
Tb  0.3548  0.3548  0.9234
Tb  0.3616  0.3616  0.3806
Tb  0.4013  0.9638  0.3003
Tb  0.4558  0.9319  0.1713
Tb  0.5442  0.0681  0.8287
Tb  0.5987  0.0362  0.6997
Tb  0.6384  0.6384  0.6194
Tb  0.6452  0.6452  0.0766
Tb  0.6593  0.1357  0.0558
Tb  0.7556  0.1962  0.5700
Tb  0.8038  0.2444  0.4300
Tb  0.8327  0.8327  0.3388
Tb  0.8328  0.8328  0.9288
Tb  0.8643  0.3407  0.9442
Tb  0.9319  0.4558  0.1713
Tb  0.9638  0.4013  0.3003
Ho  0.2570  0.2570  0.5163
Ho  0.7430  0.7430  0.4837
Er  0.0335  0.0335  0.7940
Er  0.4555  0.4555  0.2271
Er  0.5445  0.5445  0.7729
Er  0.9665  0.9665  0.2060

Tb6Ho4Er: optimized geometry, PBE.

Output
Its symmetry is I-42m, No. 121. As for the calculated formation energy: 3.4 eV/f.u. Its density of states at the Fermi level is 14.26 states/eV/f.u. The raw total energy comes out at -47.29 eV per cell. The calculation puts the polymorph energy (0 for the lowest one) at 177.6 meV/atom.

Unit cell a=9.6775 b=9.6775 c=9.6775 alpha=140.65 beta=140.65 gamma=56.86
Fractional positions:
Tb  0.0000  0.5000  0.5000
Tb  0.0132  0.6389  0.0000
Tb  0.3611  0.3611  0.3743
Tb  0.5000  0.0000  0.5000
Tb  0.6389  0.0132  0.0000
Tb  0.9868  0.9868  0.6257
Ho  0.1893  0.1893  0.6412
Ho  0.4518  0.8107  0.0000
Ho  0.5482  0.5482  0.3588
Ho  0.8107  0.4518  0.0000
Er  0.0000  0.0000  0.0000

Tb5HoEr2: optimized geometry, PBE.

Output
Its symmetry is C2/m, No. 12. As for the calculated formation energy: 1.1 eV/f.u. Its density of states at the Fermi level is 12.31 states/eV/f.u. The raw total energy comes out at -71.53 eV per cell. The calculation puts the polymorph energy (0 for the lowest one) at 120.7 meV/atom.

Unit cell a=8.6074 b=8.6074 c=11.3478 alpha=90.15 beta=90.15 gamma=38.00
Fractional positions:
Tb  0.0434  0.0434  0.3856
Tb  0.0473  0.0473  0.1108
Tb  0.3940  0.3940  0.7505
Tb  0.4111  0.4111  0.4225
Tb  0.4122  0.4122  0.0825
Tb  0.5878  0.5878  0.9175
Tb  0.5889  0.5889  0.5775
Tb  0.6060  0.6060  0.2495
Tb  0.9527  0.9527  0.8892
Tb  0.9566  0.9566  0.6144
Ho  0.2276  0.2276  0.2509
Ho  0.7724  0.7724  0.7491
Er  0.2133  0.2133  0.5796
Er  0.2143  0.2143  0.9198
Er  0.7857  0.7857  0.0802
Er  0.7867  0.7867  0.4204

Tb2HoEr9: optimized geometry, PBE.

Output
Its symmetry is P4/mmm, No. 123. As for the calculated formation energy: 0.3 eV/f.u. Its density of states at the Fermi level is 16.98 states/eV/f.u. The raw total energy comes out at -54.63 eV per cell. The calculation puts the polymorph energy (0 for the lowest one) at 0.0 meV/atom.

Unit cell a=4.9633 b=4.9633 c=14.8865 alpha=90.00 beta=90.00 gamma=90.00
Fractional positions:
Tb  0.0000  0.0000  0.1669
Tb  0.0000  0.0000  0.8331
Ho  0.0000  0.0000  0.5000
Er  0.0000  0.5000  0.0000
Er  0.0000  0.5000  0.3338
Er  0.0000  0.5000  0.6662
Er  0.5000  0.0000  0.0000
Er  0.5000  0.0000  0.3338
Er  0.5000  0.0000  0.6662
Er  0.5000  0.5000  0.1670
Er  0.5000  0.5000  0.5000
Er  0.5000  0.5000  0.8330

TbHo3Er4: optimized geometry, PBE.

Output
Its symmetry is Pmn2_1, No. 31. As for the calculated formation energy: 0.0 eV/f.u. Its density of states at the Fermi level is 12.88 states/eV/f.u. The raw total energy comes out at -73.21 eV per cell. The calculation puts the polymorph energy (0 for the lowest one) at 0.0 meV/atom.

Unit cell a=11.1136 b=7.1939 c=6.2205 alpha=90.00 beta=90.00 gamma=90.00
Fractional positions:
Tb  0.0000  0.1258  0.0000
Tb  0.5000  0.8742  0.5000
Ho  0.0000  0.8744  0.4997
Ho  0.2501  0.1258  0.3332
Ho  0.2499  0.8742  0.8332
Ho  0.5000  0.1256  0.9997
Ho  0.7499  0.1258  0.3332
Ho  0.7501  0.8742  0.8332
Er  0.0000  0.3756  0.5003
Er  0.0000  0.6244  0.9996
Er  0.2495  0.6244  0.3330
Er  0.2505  0.3756  0.8330
Er  0.5000  0.3756  0.4996
Er  0.5000  0.6244  0.0003
Er  0.7495  0.3756  0.8330
Er  0.7505  0.6244  0.3330

Tb5Ho7Er: optimized geometry, PBE.

Output
Its symmetry is Imm2, No. 44. As for the calculated formation energy: 3.4 eV/f.u. Its density of states at the Fermi level is 24.24 states/eV/f.u. The raw total energy comes out at -56.35 eV per cell. The calculation puts the polymorph energy (0 for the lowest one) at 2.7 meV/atom.

Unit cell a=8.6280 b=8.6280 c=8.6280 alpha=134.76 beta=100.31 gamma=96.71
Fractional positions:
Tb  0.0000  0.0000  0.0000
Tb  0.2280  0.2709  0.4955
Tb  0.2280  0.7325  0.9571
Tb  0.7754  0.2709  0.0429
Tb  0.7754  0.7325  0.5045
Ho  0.0815  0.2515  0.8300
Ho  0.4215  0.2515  0.1700
Ho  0.5002  0.5002  0.0000
Ho  0.5014  0.0014  0.5000
Ho  0.5801  0.7504  0.8298
Ho  0.8071  0.3071  0.5000
Ho  0.9206  0.7504  0.1702
Er  0.1951  0.6951  0.5000

Tb4Ho3Er8: optimized geometry, PBE.

Output
Its symmetry is C2/m, No. 12. As for the calculated formation energy: 6.0 eV/f.u. Its density of states at the Fermi level is 29.52 states/eV/f.u. The raw total energy comes out at -62.73 eV per cell. The calculation puts the polymorph energy (0 for the lowest one) at 262.5 meV/atom.

Unit cell a=9.1803 b=9.1803 c=6.6548 alpha=111.21 beta=111.21 gamma=87.89
Fractional positions:
Tb  0.0000  0.0000  0.0000
Tb  0.0000  0.0000  0.5000
Tb  0.0000  0.5000  0.0000
Tb  0.5000  0.0000  0.0000
Ho  0.0000  0.5000  0.5000
Ho  0.5000  0.0000  0.5000
Ho  0.5000  0.5000  0.0000
Er  0.2527  0.7473  0.0000
Er  0.2662  0.2662  0.5077
Er  0.2674  0.2674  0.0296
Er  0.3609  0.6391  0.5000
Er  0.6391  0.3609  0.5000
Er  0.7326  0.7326  0.9704
Er  0.7338  0.7338  0.4923
Er  0.7473  0.2527  0.0000

Tb4HoEr3: optimized geometry, PBE.

Output
Its symmetry is Pmn2_1, No. 31. As for the calculated formation energy: 0.1 eV/f.u. Its density of states at the Fermi level is 13.06 states/eV/f.u. The raw total energy comes out at -73.47 eV per cell. The calculation puts the polymorph energy (0 for the lowest one) at 0.0 meV/atom.

Unit cell a=11.1816 b=7.2246 c=6.2465 alpha=90.00 beta=90.00 gamma=90.00
Fractional positions:
Tb  0.0000  0.1265  0.0000
Tb  0.0000  0.8738  0.4992
Tb  0.2504  0.1262  0.3332
Tb  0.2496  0.8738  0.8332
Tb  0.5000  0.1262  0.9992
Tb  0.5000  0.8735  0.5000
Tb  0.7496  0.1262  0.3332
Tb  0.7504  0.8738  0.8332
Ho  0.0000  0.3764  0.5002
Ho  0.5000  0.6236  0.0002
Er  0.0000  0.6237  0.0000
Er  0.2501  0.3763  0.8329
Er  0.2499  0.6237  0.3329
Er  0.5000  0.3763  0.5000
Er  0.7499  0.3763  0.8329
Er  0.7501  0.6237  0.3329

Tb4Ho3Er8: optimized geometry, PBE.

Output
Its symmetry is R-3m, No. 166. As for the calculated formation energy: 2.1 eV/f.u. Its density of states at the Fermi level is 22.04 states/eV/f.u. The raw total energy comes out at -66.67 eV per cell. The calculation puts the polymorph energy (0 for the lowest one) at 0.0 meV/atom.

Unit cell a=12.2828 b=12.2828 c=12.2828 alpha=32.42 beta=32.42 gamma=32.42
Fractional positions:
Tb  0.0000  0.0000  0.0000
Tb  0.1635  0.1635  0.1635
Tb  0.5000  0.5000  0.5000
Tb  0.8365  0.8365  0.8365
Ho  0.0000  0.5000  0.5000
Ho  0.5000  0.0000  0.5000
Ho  0.5000  0.5000  0.0000
Er  0.2503  0.2503  0.7478
Er  0.2503  0.7478  0.2503
Er  0.2522  0.7497  0.7497
Er  0.2550  0.2550  0.2550
Er  0.7450  0.7450  0.7450
Er  0.7478  0.2503  0.2503
Er  0.7497  0.2522  0.7497
Er  0.7497  0.7497  0.2522

Tb8HoEr2: optimized geometry, PBE.

Output
Its symmetry is C2/m, No. 12. As for the calculated formation energy: 2.4 eV/f.u. Its density of states at the Fermi level is 18.38 states/eV/f.u. The raw total energy comes out at -48.36 eV per cell. The calculation puts the polymorph energy (0 for the lowest one) at 39.2 meV/atom.

Unit cell a=9.2600 b=9.2600 c=6.3724 alpha=102.15 beta=102.15 gamma=42.21
Fractional positions:
Tb  0.0858  0.0858  0.4246
Tb  0.1524  0.6586  0.0379
Tb  0.2897  0.2897  0.3342
Tb  0.3414  0.8476  0.9621
Tb  0.6586  0.1524  0.0379
Tb  0.7103  0.7103  0.6658
Tb  0.8476  0.3414  0.9621
Tb  0.9142  0.9142  0.5754
Ho  0.5000  0.5000  0.5000
Er  0.2429  0.2429  0.8083
Er  0.7571  0.7571  0.1917

Tb8HoEr6: optimized geometry, PBE.

Output
Its symmetry is R-3, No. 148. As for the calculated formation energy: 1.9 eV/f.u. Its density of states at the Fermi level is 23.31 states/eV/f.u. The raw total energy comes out at -67.05 eV per cell. The calculation puts the polymorph energy (0 for the lowest one) at 0.0 meV/atom.

Unit cell a=8.5626 b=8.5626 c=8.5626 alpha=63.12 beta=63.12 gamma=63.12
Fractional positions:
Tb  0.0769  0.0769  0.0769
Tb  0.2202  0.6106  0.2457
Tb  0.2457  0.2202  0.6106
Tb  0.3894  0.7543  0.7798
Tb  0.6106  0.2457  0.2202
Tb  0.7543  0.7798  0.3894
Tb  0.7798  0.3894  0.7543
Tb  0.9231  0.9231  0.9231
Ho  0.5000  0.5000  0.5000
Er  0.0400  0.6046  0.7357
Er  0.2643  0.9600  0.3954
Er  0.3954  0.2643  0.9600
Er  0.6046  0.7357  0.0400
Er  0.7357  0.0400  0.6046
Er  0.9600  0.3954  0.2643

Tb3Ho3Er: optimized geometry, PBE.

Output
Its symmetry is P2_1/m, No. 11. As for the calculated formation energy: 0.1 eV/f.u. Its density of states at the Fermi level is 14.42 states/eV/f.u. The raw total energy comes out at -64.25 eV per cell. The calculation puts the polymorph energy (0 for the lowest one) at 0.0 meV/atom.

Unit cell a=9.5116 b=5.6270 c=9.5128 alpha=90.00 beta=119.99 gamma=90.00
Fractional positions:
Tb  0.0238  0.2500  0.1201
Tb  0.1666  0.2500  0.8327
Tb  0.4046  0.7500  0.0234
Tb  0.5954  0.2500  0.9766
Tb  0.8334  0.7500  0.1673
Tb  0.9762  0.7500  0.8799
Ho  0.1191  0.7500  0.5951
Ho  0.2627  0.7500  0.3112
Ho  0.4527  0.2500  0.2634
Ho  0.5473  0.7500  0.7366
Ho  0.7373  0.2500  0.6888
Ho  0.8809  0.2500  0.4049
Er  0.3100  0.2500  0.5472
Er  0.6900  0.7500  0.4528